(1)
## B5C7 (PBE)

Data for a geometry-optimized B5C7 structure.

Structure (POSCAR):
```
B5C7
1.0
0.196 -4.601 -0.154
0.330 -3.232 3.174
-5.227 1.449 -0.009
B C
5 7
Direct
0.014 0.992 0.999
0.290 0.714 0.318
0.343 0.277 0.143
0.646 0.713 0.290
0.902 0.423 0.585
0.576 0.136 0.434
0.997 0.002 0.520
0.255 0.741 0.751
0.342 0.340 0.666
0.577 0.068 0.898
0.655 0.673 0.831
0.905 0.422 0.066
```

Output
Symmetry: P1
Crystal system: triclinic
E above lowest polymorph, meV per atom: 96.3

(2)
## Pm12Ho5In2 (PBE)

Data for a geometry-optimized Pm12Ho5In2 structure.

Structure (POSCAR):
```
Pm12Ho5In2
1.0
9.329 0.000 0.000
-4.665 7.664 1.123
0.000 -1.705 8.414
Pm Ho In
12 5 2
Direct
0.918 0.836 0.115
0.037 0.703 0.765
0.666 0.703 0.765
0.181 0.751 0.337
0.571 0.751 0.337
0.443 0.886 0.676
0.557 0.114 0.324
0.819 0.249 0.663
0.429 0.249 0.663
0.963 0.297 0.235
0.334 0.297 0.235
0.082 0.164 0.885
0.232 0.464 0.582
0.311 0.623 0.989
0.000 0.000 0.500
0.689 0.377 0.011
0.768 0.536 0.418
0.675 0.000 0.000
0.325 0.000 0.000
```

Output
Symmetry: C2/m
Crystal system: monoclinic

What are the ΔH_f (0 K) values for these records? In order: 0.354, -0.010 eV per atom.
What are the energy values for these records? In order: -7.809, -4.503 eV/atom.